PmDyScHg: optimized geometry, GGA-PBE.

Summary:
Magnetization = 2.41 Bohr magnetons per cell
Formation energy = -0.016 eV per atom
Volume = 105.3 Å³/cell
E_tot = -16.1 eV/f.u.
SG = No. 216
Crystal system = cubic

Unit cell a=5.3001 b=5.3001 c=5.3001 alpha=60.00 beta=60.00 gamma=60.00
With the nearest neighbours (Å) after each atom.
Element x y z (fractional)
Pm 0.7500 0.7500 0.7500  4 Sc 3.25, 4 Dy 3.25
Sc 0.0000 0.0000 0.0000  4 Hg 3.25, 4 Pm 3.25
Hg 0.2500 0.2500 0.2500  4 Sc 3.25, 4 Dy 3.25
Dy 0.5000 0.5000 0.5000  4 Pm 3.25, 4 Hg 3.25